Cu3NiO: relaxed, PBE with a Hubbard U.

Values from the calculation:
total energy = -17.85 eV per cell
crystal system = cubic
total moment = 0.00 μB/cell

```
5
Lattice="3.894 0.000 0.000 0.000 3.894 0.000 0.000 0.000 3.894" Properties=species:S:1:pos:R:3 pbc="T T T"
Cu 0.000 1.947 0.000
Cu 0.000 0.000 1.947
Cu 1.947 0.000 0.000
Ni 1.947 1.947 1.947
O 0.000 0.000 0.000
```